[1]
This record from Alexandria describes MgTlTe2 after structural relaxation. The functional is PBE-GGA.

## Properties
Formation energy without anion corrections   -288 meV/atom
Magnetic moment   0.00 μB/f.u.

Cell lengths 7.0214, 7.0214, 6.4841 Å; angles 79.11, 79.11, 29.00 degrees
Closest atoms and distances in Å follow each position.
Element x y z (fractional)
1 Mg 0.3252 0.3252 0.2611  4 Te 2.84-2.85
2 Te 0.9760 0.9760 0.0519  2 Mg 2.84
3 Te 0.7226 0.7226 0.5766  2 Mg 2.85
4 Tl 0.4762 0.4762 0.6104  3 Te 3.31-3.36, 1 Mg 3.34, 2 Tl 3.52

---

[2]
This record from Alexandria describes TaBe2Al after structural relaxation. The functional is PBE-GGA.

## Properties
Energy of formation   0.003 eV/atom
Magnetic moment   0.00 μB/f.u.

Cell lengths 3.7563, 2.8644, 4.9247 Å; angles 73.46, 90.00, 90.00 degrees
Closest atoms and distances in Å follow each position.
Element x y z (fractional)
1 Be 0.0000 0.1905 0.9930  2 Be 2.24
2 Be 0.5000 0.0601 0.2522  2 Be 2.24
3 Al 0.5000 0.7882 0.7992  7 Be 2.53-2.58
4 Ta 0.0000 0.4612 0.4556  7 Be 2.54-2.62

---

[3]
This record from Alexandria describes La4TmSb5 after structural relaxation. The functional is PBE-GGA.

## Properties
Formation energy without anion corrections   -1219 meV/atom
Relative energy among the computed polymorphs   0.0 meV per atom
Magnetic moment   0.00 μB/f.u.

Cell lengths 6.4773, 7.9164, 7.9164 Å; angles 80.37, 65.85, 65.85 degrees
Closest atoms and distances in Å follow each position.
Element x y z (fractional)
1 La 0.4042 0.3970 0.7967  6 Sb 3.22-3.29
2 La 0.8012 0.7967 0.6030  6 Sb 3.22-3.29
3 La 0.2009 0.2033 0.3970  6 Sb 3.22-3.29
4 La 0.5979 0.6030 0.2033  6 Sb 3.22-3.29
5 Tm 0.0010 0.0000 0.0000  6 Sb 3.14-3.24
6 Sb 0.9032 0.3889 0.8067  1 Tm 3.14, 5 La 3.24-3.29
7 Sb 0.2921 0.8067 0.6111  1 Tm 3.14, 5 La 3.24-3.29
8 Sb 0.7099 0.1933 0.3889  1 Tm 3.14, 5 La 3.24-3.29
9 Sb 0.0988 0.6111 0.1933  1 Tm 3.14, 5 La 3.24-3.29
10 Sb 0.5010 0.0000 0.0000  4 La 3.22, 2 Tm 3.24

---

[4]
This record from Alexandria describes LiYSeO4 after structural relaxation. The functional is PBE-GGA.

## Properties
Formation energy without anion corrections   -1931 meV/atom
Magnetic moment   0.00 μB/f.u.

Cell lengths 7.1318, 6.3471, 6.3471 Å; angles 65.28, 55.82, 55.82 degrees
Closest atoms and distances in Å follow each position.
Element x y z (fractional)
1 Li 0.5000 0.0000 0.5000  2 O 1.86
2 Li 0.0000 0.0000 0.5000  2 O 1.86
3 Y 0.0000 0.0000 0.0000  6 O 2.25-2.37
4 Y 0.0000 0.5000 0.5000  6 O 2.25-2.37
5 Se 0.5725 0.6775 0.1775  2 O 1.73
6 Se 0.4275 0.3225 0.8225  2 O 1.73
7 O 0.7061 0.7424 0.8454  1 Se 1.73
8 O 0.2939 0.6546 0.7576  1 Se 1.73
9 O 0.7061 0.3454 0.2424  1 Se 1.73
10 O 0.2939 0.2576 0.1546  1 Se 1.73
11 O 0.1835 0.7704 0.2704  1 Li 1.86
12 O 0.7757 0.7704 0.2704  1 Li 1.86
13 O 0.2243 0.2296 0.7296  1 Li 1.86
14 O 0.8165 0.2296 0.7296  1 Li 1.86

---

no.,D(E_F) (states/eV/cell)
1,1.50
2,1.82
3,0.66
4,0.00